# PmO | OQMD | PBE | relaxed
# - size of the total moment (μB/f.u.) = 0.3
# - SG = P-6m2 (187)
# - ΔE to the lowest computed polymorph (eV per formula unit) = 0.53
# - final energy (eV for the cell shown) = -14.68
data_PmO
_chemical_formula_sum 'Pm1 O1'
_symmetry_space_group_name_H-M 'P 1'
_symmetry_Int_Tables_number 1
_cell_length_a 3.364
_cell_length_b 3.364
_cell_length_c 3.194
_cell_angle_alpha 90.00
_cell_angle_beta 90.00
_cell_angle_gamma 120.00
loop_
_symmetry_equiv_pos_as_xyz
'x,y,z'
loop_
_atom_site_label
_atom_site_fract_x
_atom_site_fract_y
_atom_site_fract_z
O1 0.667 0.333 0.750
Pm1 0.333 0.667 0.250

# Pm2O3 | OQMD | PBE | relaxed
# - size of the total moment (μB/f.u.) = 0.0
# - SG = Ia-3 (206)
# - final energy (eV for the cell shown) = -331.55
data_Pm2O3
_chemical_formula_sum 'Pm16 O24'
_symmetry_space_group_name_H-M 'P 1'
_symmetry_Int_Tables_number 1
_cell_length_a 9.516
_cell_length_b 9.516
_cell_length_c 9.516
_cell_angle_alpha 109.47
_cell_angle_beta 109.47
_cell_angle_gamma 109.47
loop_
_symmetry_equiv_pos_as_xyz
'x,y,z'
loop_
_atom_site_label
_atom_site_fract_x
_atom_site_fract_y
_atom_site_fract_z
O1 0.041 0.271 0.012
O2 0.488 0.759 0.029
O3 0.271 0.012 0.041
O4 0.270 0.741 0.229
O5 0.459 0.471 0.230
O6 0.971 0.512 0.241
O7 0.771 0.730 0.259
O8 0.741 0.229 0.270
O9 0.012 0.041 0.271
O10 0.471 0.230 0.459
O11 0.230 0.459 0.471
O12 0.759 0.029 0.488
O13 0.241 0.971 0.512
O14 0.770 0.541 0.529
O15 0.529 0.770 0.541
O16 0.988 0.959 0.729
O17 0.259 0.771 0.730
O18 0.229 0.270 0.741
O19 0.029 0.488 0.759
O20 0.541 0.529 0.770
O21 0.730 0.259 0.771
O22 0.729 0.988 0.959
O23 0.512 0.241 0.971
O24 0.959 0.729 0.988
Pm1 0.500 0.000 0.000
Pm2 0.000 0.500 0.000
Pm3 0.750 0.781 0.031
Pm4 0.969 0.250 0.219
Pm5 0.219 0.969 0.250
Pm6 0.719 0.469 0.250
Pm7 0.531 0.750 0.281
Pm8 0.250 0.719 0.469
Pm9 0.000 0.000 0.500
Pm10 0.500 0.500 0.500
Pm11 0.750 0.281 0.531
Pm12 0.469 0.250 0.719
Pm13 0.781 0.031 0.750
Pm14 0.281 0.531 0.750
Pm15 0.031 0.750 0.781
Pm16 0.250 0.219 0.969

# PmO | OQMD | PBE | relaxed
# - size of the total moment (μB/f.u.) = 0.0
# - SG = R-3m (166)
# - ΔE to the lowest computed polymorph (eV per formula unit) = 0.00
# - final energy (eV for the cell shown) = -15.21
data_PmO
_chemical_formula_sum 'Pm1 O1'
_symmetry_space_group_name_H-M 'P 1'
_symmetry_Int_Tables_number 1
_cell_length_a 3.528
_cell_length_b 3.528
_cell_length_c 3.528
_cell_angle_alpha 59.23
_cell_angle_beta 59.23
_cell_angle_gamma 59.23
loop_
_symmetry_equiv_pos_as_xyz
'x,y,z'
loop_
_atom_site_label
_atom_site_fract_x
_atom_site_fract_y
_atom_site_fract_z
O1 0.000 0.000 0.000
Pm1 0.500 0.500 0.500

# PmO | OQMD | PBE | relaxed
# - size of the total moment (μB/f.u.) = 0.0
# - SG = Fm-3m (225)
# - ΔE to the lowest computed polymorph (eV per formula unit) = 0.00
# - final energy (eV for the cell shown) = -45.64
data_PmO
_chemical_formula_sum 'Pm3 O3'
_symmetry_space_group_name_H-M 'P 1'
_symmetry_Int_Tables_number 1
_cell_length_a 3.514
_cell_length_b 3.514
_cell_length_c 8.592
_cell_angle_alpha 90.00
_cell_angle_beta 90.00
_cell_angle_gamma 120.00
loop_
_symmetry_equiv_pos_as_xyz
'x,y,z'
loop_
_atom_site_label
_atom_site_fract_x
_atom_site_fract_y
_atom_site_fract_z
O1 0.333 0.667 0.166
O2 0.000 0.000 0.500
O3 0.667 0.333 0.834
Pm1 0.000 0.000 0.000
Pm2 0.667 0.333 0.334
Pm3 0.333 0.667 0.666

# PmO | OQMD | PBE | relaxed
# - size of the total moment (μB/f.u.) = 0.9
# - SG = F-43m (216)
# - ΔE to the lowest computed polymorph (eV per formula unit) = 0.34
# - final energy (eV for the cell shown) = -14.87
data_PmO
_chemical_formula_sum 'Pm1 O1'
_symmetry_space_group_name_H-M 'P 1'
_symmetry_Int_Tables_number 1
_cell_length_a 3.860
_cell_length_b 3.860
_cell_length_c 3.860
_cell_angle_alpha 60.00
_cell_angle_beta 60.00
_cell_angle_gamma 60.00
loop_
_symmetry_equiv_pos_as_xyz
'x,y,z'
loop_
_atom_site_label
_atom_site_fract_x
_atom_site_fract_y
_atom_site_fract_z
O1 0.000 0.000 0.000
Pm1 0.250 0.250 0.250

# Pm4O5 | OQMD | PBE | relaxed
# - size of the total moment (μB/f.u.) = 1.3
# - SG = P4/mmm (123)
# - final energy (eV for the cell shown) = -65.78
data_Pm4O5
_chemical_formula_sum 'Pm4 O5'
_symmetry_space_group_name_H-M 'P 1'
_symmetry_Int_Tables_number 1
_cell_length_a 7.307
_cell_length_b 4.522
_cell_length_c 4.522
_cell_angle_alpha 90.00
_cell_angle_beta 90.00
_cell_angle_gamma 90.00
loop_
_symmetry_equiv_pos_as_xyz
'x,y,z'
loop_
_atom_site_label
_atom_site_fract_x
_atom_site_fract_y
_atom_site_fract_z
O1 0.218 0.500 0.000
O2 0.782 0.500 0.000
O3 0.218 0.000 0.500
O4 0.782 0.000 0.500
O5 0.500 0.500 0.500
Pm1 0.000 0.000 0.000
Pm2 0.500 0.000 0.000
Pm3 0.212 0.500 0.500
Pm4 0.788 0.500 0.500

# Pm2O | OQMD | PBE | relaxed
# - size of the total moment (μB/f.u.) = 2.3
# - SG = Fd-3m (227)
# - ΔE to the lowest computed polymorph (eV per formula unit) = 0.00
# - final energy (eV for the cell shown) = -34.13
data_Pm2O
_chemical_formula_sum 'Pm4 O2'
_symmetry_space_group_name_H-M 'P 1'
_symmetry_Int_Tables_number 1
_cell_length_a 7.483
_cell_length_b 7.483
_cell_length_c 7.483
_cell_angle_alpha 60.00
_cell_angle_beta 60.00
_cell_angle_gamma 60.00
loop_
_symmetry_equiv_pos_as_xyz
'x,y,z'
loop_
_atom_site_label
_atom_site_fract_x
_atom_site_fract_y
_atom_site_fract_z
O1 0.250 0.250 0.250
O2 0.500 0.500 0.500
Pm1 0.875 0.375 0.375
Pm2 0.375 0.875 0.375
Pm3 0.375 0.375 0.375
Pm4 0.375 0.375 0.875

# Pm2O3 | OQMD | PBE | relaxed
# - size of the total moment (μB/f.u.) = 0.1
# - SG = P4/nmm (129)
# - final energy (eV for the cell shown) = -79.63
data_Pm2O3
_chemical_formula_sum 'Pm4 O6'
_symmetry_space_group_name_H-M 'P 1'
_symmetry_Int_Tables_number 1
_cell_length_a 3.560
_cell_length_b 3.560
_cell_length_c 12.220
_cell_angle_alpha 90.00
_cell_angle_beta 90.00
_cell_angle_gamma 90.00
loop_
_symmetry_equiv_pos_as_xyz
'x,y,z'
loop_
_atom_site_label
_atom_site_fract_x
_atom_site_fract_y
_atom_site_fract_z
O1 0.500 0.000 0.093
O2 0.000 0.500 0.292
O3 0.000 0.000 0.500
O4 0.500 0.500 0.500
O5 0.500 0.000 0.708
O6 0.000 0.500 0.907
Pm1 0.000 0.500 0.120
Pm2 0.500 0.000 0.388
Pm3 0.000 0.500 0.612
Pm4 0.500 0.000 0.880

# PmPr2O3 | OQMD | PBE | relaxed
# - size of the total moment (μB/f.u.) = 0.0
# - SG = P-3m1 (164)
# - final energy (eV for the cell shown) = -45.48
data_PmPr2O3
_chemical_formula_sum 'Pm1 Pr2 O3'
_symmetry_space_group_name_H-M 'P 1'
_symmetry_Int_Tables_number 1
_cell_length_a 3.558
_cell_length_b 3.558
_cell_length_c 8.715
_cell_angle_alpha 90.00
_cell_angle_beta 90.00
_cell_angle_gamma 120.00
loop_
_symmetry_equiv_pos_as_xyz
'x,y,z'
loop_
_atom_site_label
_atom_site_fract_x
_atom_site_fract_y
_atom_site_fract_z
O1 0.000 0.000 0.000
O2 0.333 0.667 0.344
O3 0.667 0.333 0.656
Pm1 0.000 0.000 0.500
Pr1 0.667 0.333 0.168
Pr2 0.333 0.667 0.832

# PmPr2O4 | OQMD | PBE | relaxed
# - size of the total moment (μB/f.u.) = 0.4
# - SG = Fd-3m (227)
# - final energy (eV for the cell shown) = -110.60
data_PmPr2O4
_chemical_formula_sum 'Pm2 Pr4 O8'
_symmetry_space_group_name_H-M 'P 1'
_symmetry_Int_Tables_number 1
_cell_length_a 7.084
_cell_length_b 7.084
_cell_length_c 7.084
_cell_angle_alpha 119.99
_cell_angle_beta 90.02
_cell_angle_gamma 119.99
loop_
_symmetry_equiv_pos_as_xyz
'x,y,z'
loop_
_atom_site_label
_atom_site_fract_x
_atom_site_fract_y
_atom_site_fract_z
O1 0.138 0.759 0.379
O2 0.620 0.241 0.379
O3 0.621 0.759 0.380
O4 0.129 0.259 0.388
O5 0.621 0.241 0.862
O6 0.129 0.741 0.870
O7 0.130 0.259 0.871
O8 0.612 0.741 0.871
Pm1 0.000 0.000 0.000
Pm2 0.750 0.500 0.250
Pr1 0.375 0.750 0.125
Pr2 0.375 0.750 0.625
Pr3 0.875 0.250 0.625
Pr4 0.375 0.250 0.625

# Pm2PrO3 | OQMD | PBE | relaxed
# - size of the total moment (μB/f.u.) = 0.0
# - SG = P-3m1 (164)
# - final energy (eV for the cell shown) = -45.57
data_Pm2PrO3
_chemical_formula_sum 'Pm2 Pr1 O3'
_symmetry_space_group_name_H-M 'P 1'
_symmetry_Int_Tables_number 1
_cell_length_a 3.533
_cell_length_b 3.533
_cell_length_c 8.665
_cell_angle_alpha 90.00
_cell_angle_beta 90.00
_cell_angle_gamma 120.00
loop_
_symmetry_equiv_pos_as_xyz
'x,y,z'
loop_
_atom_site_label
_atom_site_fract_x
_atom_site_fract_y
_atom_site_fract_z
O1 0.000 0.000 0.000
O2 0.333 0.667 0.322
O3 0.667 0.333 0.678
Pm1 0.667 0.333 0.165
Pm2 0.333 0.667 0.835
Pr1 0.000 0.000 0.500

# PmPrO3 | OQMD | PBE | relaxed
# - size of the total moment (μB/f.u.) = 0.0
# - SG = P3m1 (156)
# - final energy (eV for the cell shown) = -41.06
data_PmPrO3
_chemical_formula_sum 'Pm1 Pr1 O3'
_symmetry_space_group_name_H-M 'P 1'
_symmetry_Int_Tables_number 1
_cell_length_a 3.832
_cell_length_b 3.832
_cell_length_c 6.029
_cell_angle_alpha 90.00
_cell_angle_beta 90.00
_cell_angle_gamma 120.00
loop_
_symmetry_equiv_pos_as_xyz
'x,y,z'
loop_
_atom_site_label
_atom_site_fract_x
_atom_site_fract_y
_atom_site_fract_z
O1 0.333 0.667 0.360
O2 0.667 0.333 0.649
O3 0.000 0.000 0.999
Pm1 0.333 0.667 0.749
Pr1 0.667 0.333 0.244

# PmPrSO2 | OQMD | PBE | relaxed
# - size of the total moment (μB/f.u.) = 0.0
# - SG = P3m1 (156)
# - final energy (eV for the cell shown) = -38.94
data_PmPrSO2
_chemical_formula_sum 'Pm1 Pr1 S1 O2'
_symmetry_space_group_name_H-M 'P 1'
_symmetry_Int_Tables_number 1
_cell_length_a 3.958
_cell_length_b 3.958
_cell_length_c 6.802
_cell_angle_alpha 90.00
_cell_angle_beta 90.00
_cell_angle_gamma 120.00
loop_
_symmetry_equiv_pos_as_xyz
'x,y,z'
loop_
_atom_site_label
_atom_site_fract_x
_atom_site_fract_y
_atom_site_fract_z
O1 0.333 0.667 0.373
O2 0.667 0.333 0.633
Pm1 0.333 0.667 0.719
Pr1 0.667 0.333 0.278
S1 0.000 0.000 0.997

# PmPrSeO2 | OQMD | PBE | relaxed
# - size of the total moment (μB/f.u.) = 0.0
# - SG = P3m1 (156)
# - final energy (eV for the cell shown) = -37.94
data_PmPrSeO2
_chemical_formula_sum 'Pm1 Pr1 Se1 O2'
_symmetry_space_group_name_H-M 'P 1'
_symmetry_Int_Tables_number 1
_cell_length_a 3.988
_cell_length_b 3.988
_cell_length_c 6.996
_cell_angle_alpha 90.00
_cell_angle_beta 90.00
_cell_angle_gamma 120.00
loop_
_symmetry_equiv_pos_as_xyz
'x,y,z'
loop_
_atom_site_label
_atom_site_fract_x
_atom_site_fract_y
_atom_site_fract_z
O1 0.333 0.667 0.377
O2 0.667 0.333 0.629
Pm1 0.333 0.667 0.711
Pr1 0.667 0.333 0.287
Se1 0.000 0.000 0.996

# PmPrTeO2 | OQMD | PBE | relaxed
# - size of the total moment (μB/f.u.) = 0.0
# - SG = P3m1 (156)
# - ΔE to the lowest computed polymorph (eV per formula unit) = 0.39
# - final energy (eV for the cell shown) = -36.59
data_PmPrTeO2
_chemical_formula_sum 'Pm1 Pr1 Te1 O2'
_symmetry_space_group_name_H-M 'P 1'
_symmetry_Int_Tables_number 1
_cell_length_a 4.047
_cell_length_b 4.047
_cell_length_c 7.417
_cell_angle_alpha 90.00
_cell_angle_beta 90.00
_cell_angle_gamma 120.00
loop_
_symmetry_equiv_pos_as_xyz
'x,y,z'
loop_
_atom_site_label
_atom_site_fract_x
_atom_site_fract_y
_atom_site_fract_z
O1 0.333 0.667 0.382
O2 0.667 0.333 0.623
Pm1 0.333 0.667 0.698
Pr1 0.667 0.333 0.301
Te1 0.000 0.000 0.996

# PmPrTeO2 | OQMD | PBE | relaxed
# - size of the total moment (μB/f.u.) = 0.0
# - SG = I4mm (107)
# - ΔE to the lowest computed polymorph (eV per formula unit) = 0.00
# - final energy (eV for the cell shown) = -36.98
data_PmPrTeO2
_chemical_formula_sum 'Pm1 Pr1 Te1 O2'
_symmetry_space_group_name_H-M 'P 1'
_symmetry_Int_Tables_number 1
_cell_length_a 7.033
_cell_length_b 7.033
_cell_length_c 7.033
_cell_angle_alpha 146.56
_cell_angle_beta 146.56
_cell_angle_gamma 48.01
loop_
_symmetry_equiv_pos_as_xyz
'x,y,z'
loop_
_atom_site_label
_atom_site_fract_x
_atom_site_fract_y
_atom_site_fract_z
O1 0.748 0.248 0.500
O2 0.248 0.748 0.500
Pm1 0.660 0.660 0.000
Pr1 0.342 0.342 0.000
Te1 0.001 0.001 0.000

# PmPtO3 | OQMD | PBE | relaxed
# - size of the total moment (μB/f.u.) = 1.0
# - SG = R-3 (148)
# - final energy (eV for the cell shown) = -67.45
data_PmPtO3
_chemical_formula_sum 'Pm2 Pt2 O6'
_symmetry_space_group_name_H-M 'P 1'
_symmetry_Int_Tables_number 1
_cell_length_a 5.797
_cell_length_b 5.797
_cell_length_c 5.815
_cell_angle_alpha 60.10
_cell_angle_beta 60.10
_cell_angle_gamma 60.00
loop_
_symmetry_equiv_pos_as_xyz
'x,y,z'
loop_
_atom_site_label
_atom_site_fract_x
_atom_site_fract_y
_atom_site_fract_z
O1 0.552 0.222 0.270
O2 0.222 0.956 0.270
O3 0.956 0.552 0.270
O4 0.044 0.448 0.730
O5 0.778 0.044 0.730
O6 0.448 0.778 0.730
Pm1 0.632 0.632 0.103
Pm2 0.368 0.368 0.897
Pt1 0.845 0.845 0.465
Pt2 0.155 0.155 0.535

# PmPt2O4 | OQMD | PBE | relaxed
# - size of the total moment (μB/f.u.) = 2.0
# - SG = Fd-3m (227)
# - final energy (eV for the cell shown) = -86.32
data_PmPt2O4
_chemical_formula_sum 'Pm2 Pt4 O8'
_symmetry_space_group_name_H-M 'P 1'
_symmetry_Int_Tables_number 1
_cell_length_a 6.581
_cell_length_b 6.581
_cell_length_c 6.581
_cell_angle_alpha 120.02
_cell_angle_beta 89.97
_cell_angle_gamma 120.02
loop_
_symmetry_equiv_pos_as_xyz
'x,y,z'
loop_
_atom_site_label
_atom_site_fract_x
_atom_site_fract_y
_atom_site_fract_z
O1 0.174 0.783 0.391
O2 0.608 0.217 0.391
O3 0.609 0.783 0.392
O4 0.141 0.283 0.424
O5 0.609 0.217 0.826
O6 0.141 0.717 0.858
O7 0.142 0.283 0.859
O8 0.576 0.717 0.859
Pm1 0.000 0.000 0.000
Pm2 0.750 0.500 0.250
Pt1 0.375 0.750 0.125
Pt2 0.375 0.750 0.625
Pt3 0.375 0.250 0.625
Pt4 0.875 0.250 0.625

# PmPtO3 | OQMD | PBE | relaxed
# - size of the total moment (μB/f.u.) = 0.0
# - SG = R-3c (167)
# - final energy (eV for the cell shown) = -68.88
data_PmPtO3
_chemical_formula_sum 'Pm2 Pt2 O6'
_symmetry_space_group_name_H-M 'P 1'
_symmetry_Int_Tables_number 1
_cell_length_a 5.402
_cell_length_b 5.402
_cell_length_c 5.402
_cell_angle_alpha 66.03
_cell_angle_beta 66.03
_cell_angle_gamma 66.03
loop_
_symmetry_equiv_pos_as_xyz
'x,y,z'
loop_
_atom_site_label
_atom_site_fract_x
_atom_site_fract_y
_atom_site_fract_z
O1 0.750 0.360 0.140
O2 0.640 0.860 0.250
O3 0.140 0.750 0.360
O4 0.860 0.250 0.640
O5 0.360 0.140 0.750
O6 0.250 0.640 0.860
Pm1 0.250 0.250 0.250
Pm2 0.750 0.750 0.750
Pt1 0.000 0.000 0.000
Pt2 0.500 0.500 0.500

# PmPtO3 | OQMD | PBE | relaxed
# - size of the total moment (μB/f.u.) = 0.0
# - SG = P4mm (99)
# - final energy (eV for the cell shown) = -33.42
data_PmPtO3
_chemical_formula_sum 'Pm1 Pt1 O3'
_symmetry_space_group_name_H-M 'P 1'
_symmetry_Int_Tables_number 1
_cell_length_a 3.947
_cell_length_b 3.947
_cell_length_c 4.337
_cell_angle_alpha 90.00
_cell_angle_beta 90.00
_cell_angle_gamma 90.00
loop_
_symmetry_equiv_pos_as_xyz
'x,y,z'
loop_
_atom_site_label
_atom_site_fract_x
_atom_site_fract_y
_atom_site_fract_z
O1 0.500 0.500 0.066
O2 0.500 0.000 0.648
O3 0.000 0.500 0.648
Pm1 0.000 0.000 0.977
Pt1 0.500 0.500 0.561